1.
## ScAl4Zn (PBE-GGA)

Data for crystalline ScAl4Zn at its relaxed geometry.

The space group is F-43m (No. 216) and the conventional cell measures 7.5667, 7.5667 and 7.5667 Å, with angles of 90.00, 90.00 and 90.00 degrees. The asymmetric unit holds Sc at (0.0000, 0.0000, 0.0000), Al at (0.1252, 0.1252, 0.3748) and Zn at (0.2500, 0.2500, 0.7500).

Its crystal system is cubic. The value obtained for the formation energy is -94 meV per atom. As for the volume: 433.2 Å³ per cell.

=====

2.
## DySc4Al2 (PBE-GGA)

Data for crystalline DySc4Al2 at its relaxed geometry.

The space group is I4/mmm (No. 139) and the conventional cell measures 5.3009, 5.3009 and 11.9777 Å, with angles of 90.00, 90.00 and 90.00 degrees. The asymmetric unit holds Dy at (0.0000, 0.0000, 0.0000), Sc at (0.0000, 0.5000, 0.0000), Sc at (0.0000, 0.5000, 0.2500) and Al at (0.0000, 0.0000, 0.3820).

Its crystal system is tetragonal. The value obtained for the formation energy is 253 meV per atom. As for the volume: 336.6 Å³ per cell.

=====

3.
## ZnGaAg14 (PBE-GGA)

Data for crystalline ZnGaAg14 at its relaxed geometry.

The space group is Amm2 (No. 38) and the conventional cell measures 9.4818, 6.0962 and 9.7640 Å, with angles of 90.00, 90.00 and 90.00 degrees. The asymmetric unit holds Zn at (0.0000, 0.0000, 0.0000), Ga at (0.0000, 0.0000, 0.5007), Ag at (0.0000, 0.2501, 0.2522), Ag at (0.2430, 0.2490, 0.0668), Ag at (0.2501, 0.0000, 0.8190), Ag at (0.2511, 0.0000, 0.3183), Ag at (0.5000, 0.0000, 0.1411), Ag at (0.5000, 0.0000, 0.6410) and Ag at (0.5000, 0.2502, 0.3925).

Its crystal system is orthorhombic. The value obtained for the formation energy is 21 meV per atom. As for the volume: 564.4 Å³ per cell.

=====

4.
## PuTlIn2 (PBE-GGA)

Data for crystalline PuTlIn2 at its relaxed geometry.

The space group is P4/mmm (No. 123) and the conventional cell measures 4.7127, 4.7127 and 4.6923 Å, with angles of 90.00, 90.00 and 90.00 degrees. The asymmetric unit holds Pu at (0.0000, 0.0000, 0.0000), Tl at (0.5000, 0.5000, 0.0000) and In at (0.0000, 0.5000, 0.5000).

Its crystal system is tetragonal. The value obtained for the formation energy is -148 meV per atom. As for the volume: 104.2 Å³ per cell.

=====

5.
## TaTlS2 (PBE-GGA)

Data for crystalline TaTlS2 at its relaxed geometry.

The space group is P3m1 (No. 156) and the conventional cell measures 3.6560, 3.6560 and 8.7005 Å, with angles of 90.00, 90.00 and 120.00 degrees. The asymmetric unit holds Ta at (0.0000, 0.0000, 0.0000), Tl at (0.6667, 0.3333, 0.4955), S at (0.0000, 0.0000, 0.2602) and S at (0.3333, 0.6667, 0.8650).

Its crystal system is trigonal. The calculation puts the energy relative to the elements, uncorrected at -375 meV/atom. As for the volume: 100.7 Å³ per cell.

=====

6.
## Rb2SrCl4 (PBE-GGA)

Data for crystalline Rb2SrCl4 at its relaxed geometry.

The space group is I4/mmm (No. 139) and the conventional cell measures 5.6635, 5.6635 and 16.8784 Å, with angles of 90.00, 90.00 and 90.00 degrees. The asymmetric unit holds Rb at (0.0000, 0.0000, 0.1425), Sr at (0.0000, 0.0000, 0.5000), Cl at (0.0000, 0.0000, 0.3307) and Cl at (0.0000, 0.5000, 0.0000).

Its crystal system is tetragonal. The calculation puts the energy relative to the elements, uncorrected at -2142 meV/atom. As for the volume: 541.4 Å³ per cell.

=====

7.
## Li2CdSb (PBE-GGA)

Data for crystalline Li2CdSb at its relaxed geometry.

The space group is C2/m (No. 12) and the conventional cell measures 8.9966, 3.2982 and 5.8845 Å, with angles of 90.00, 100.07 and 90.00 degrees. The asymmetric unit holds Li at (0.2448, 0.0000, 0.2243), Cd at (0.0000, 0.0000, 0.5000) and Sb at (0.0000, 0.5000, 0.0000).

Its crystal system is monoclinic. The calculation puts the energy relative to the elements, uncorrected at -279 meV/atom. As for the volume: 171.9 Å³ per cell.

=====

8.
## Mn2TlIn (PBE-GGA)

Data for crystalline Mn2TlIn at its relaxed geometry.

The space group is Cmmm (No. 65) and the conventional cell measures 6.1172, 8.0547 and 3.0523 Å, with angles of 90.00, 90.00 and 90.00 degrees. The asymmetric unit holds Mn at (0.2500, 0.2500, 0.0000), Tl at (0.0000, 0.0000, 0.5000) and In at (0.0000, 0.5000, 0.5000).

Its crystal system is orthorhombic. The value obtained for the formation energy is 402 meV per atom. As for the volume: 150.4 Å³ per cell.

=====

9.
## Li2RuBr (PBE-GGA)

Data for crystalline Li2RuBr at its relaxed geometry.

The space group is F-43m (No. 216) and the conventional cell measures 6.2223, 6.2223 and 6.2223 Å, with angles of 90.00, 90.00 and 90.00 degrees. The asymmetric unit holds Li at (0.0000, 0.0000, 0.0000), Li at (0.2500, 0.2500, 0.2500), Ru at (0.0000, 0.0000, 0.5000) and Br at (0.2500, 0.2500, 0.7500).

Its crystal system is cubic. The calculation puts the energy relative to the elements, uncorrected at 312 meV/atom. As for the volume: 240.9 Å³ per cell.

=====

10.
## Pr4GaRh (PBE-GGA)

Data for crystalline Pr4GaRh at its relaxed geometry.

The space group is C2/c (No. 15) and the conventional cell measures 9.0735, 14.0304 and 6.2942 Å, with angles of 90.00, 119.25 and 90.00 degrees. The asymmetric unit holds Pr at (0.1217, 0.1852, 0.0872), Pr at (0.2119, 0.4335, 0.3110), Ga at (0.0000, 0.3737, 0.7500) and Rh at (0.0000, 0.0008, 0.2500).

Its crystal system is monoclinic. The value obtained for the formation energy is -415 meV per atom. As for the volume: 699.1 Å³ per cell.

=====

11.
## SmEr2UO8 (PBE-GGA)

Data for crystalline SmEr2UO8 at its relaxed geometry.

The space group is Pmmm (No. 47) and the conventional cell measures 3.8844, 5.2892 and 7.5796 Å, with angles of 90.00, 90.00 and 90.00 degrees. The asymmetric unit holds Sm at (0.0000, 0.0000, 0.0000), Er at (0.5000, 0.5000, 0.2570), U at (0.0000, 0.0000, 0.5000), O at (0.0000, 0.2449, 0.2744), O at (0.5000, 0.2343, 0.5000) and O at (0.5000, 0.2636, 0.0000).

Its crystal system is orthorhombic. The calculation puts the energy relative to the elements, uncorrected at -3276 meV/atom. As for the volume: 155.7 Å³ per cell.

=====

12.
## GdYPbAu (PBE-GGA)

Data for crystalline GdYPbAu at its relaxed geometry.

The space group is F-43m (No. 216) and the conventional cell measures 7.4765, 7.4765 and 7.4765 Å, with angles of 90.00, 90.00 and 90.00 degrees. The asymmetric unit holds Gd at (0.0000, 0.0000, 0.0000), Y at (0.0000, 0.0000, 0.5000), Pb at (0.2500, 0.2500, 0.2500) and Au at (0.2500, 0.2500, 0.7500).

Its crystal system is cubic. The value obtained for the formation energy is -642 meV per atom. As for the volume: 417.9 Å³ per cell.

=====

13.
## Cd2C (PBE-GGA)

Data for crystalline Cd2C at its relaxed geometry.

The space group is Cmc2_1 (No. 36) and the conventional cell measures 3.2915, 11.2649 and 5.7319 Å, with angles of 90.00, 90.00 and 90.00 degrees. The asymmetric unit holds Cd at (0.0000, 0.0203, 0.0000), Cd at (0.0000, 0.2412, 0.4726) and C at (0.0000, 0.3849, 0.7715).

Its crystal system is orthorhombic. The value obtained for the formation energy is 1212 meV per atom. As for the volume: 212.5 Å³ per cell.